TbW2N4 | PBE | relaxed

The structure in CIF format:
```
data_TbW2N4
_symmetry_space_group_name_H-M 'P 1'
_symmetry_Int_Tables_number 1
_symmetry_space_group_name_Hall 'P 1'
_cell_length_a 5.259
_cell_length_b 5.259
_cell_length_c 10.213
_cell_angle_alpha 90.00
_cell_angle_beta 90.00
_cell_angle_gamma 145.05
loop_
_atom_site_label
_atom_site_type_symbol
_atom_site_fract_x
_atom_site_fract_y
_atom_site_fract_z
Tb1 Tb 0.127 0.873 0.750
Tb2 Tb 0.873 0.127 0.250
W1 W 0.382 0.618 0.564
W2 W 0.382 0.618 0.936
W3 W 0.618 0.382 0.064
W4 W 0.618 0.382 0.436
N1 N 0.000 0.000 0.000
N2 N 0.000 0.000 0.500
N3 N 0.264 0.736 0.107
N4 N 0.264 0.736 0.393
N5 N 0.436 0.564 0.750
N6 N 0.564 0.436 0.250
N7 N 0.736 0.264 0.607
N8 N 0.736 0.264 0.893
```

Results
The energy relative to the elements, uncorrected comes out at -739 meV/atom. Its total moment is 0.00 μB/cell. Its symmetry is No. 63.